# 1
DFT (GGA-PBE) results for a geometry-optimized Ce2ThZrN4 structure.

Output
DOS(E_F) = 5.35 states/eV per cell
space-group type = P2/m (10)
calculated total energy = -0.6767 Ry/atom

a = 3.4939 Å, b = 6.1186 Å, c = 6.0809 Å
α = 109.02°, β = 90.00°, γ = 90.00°
With the nearest neighbours (Å) after each atom.
Positions (direct):
Ce1 0.5000 0.0000 0.5000  6 N 2.47
Ce2 0.0000 0.5000 0.5000  6 N 2.59-2.63
Zr1 0.0000 0.0000 0.0000  6 N 2.33-2.39
N1 0.5000 0.2279 0.2309  2 Zr 2.39, 3 Ce 2.47-2.59, 1 Th 2.50
N2 0.0000 0.2316 0.7619  1 Zr 2.33, 2 Ce 2.47, 2 Th 2.51
N3 0.5000 0.7721 0.7691  2 Zr 2.39, 3 Ce 2.47-2.59, 1 Th 2.50
N4 0.0000 0.7684 0.2381  1 Zr 2.33, 2 Ce 2.47, 2 Th 2.51
Th1 0.5000 0.5000 0.0000  6 N 2.50-2.51


# 2
DFT (GGA-PBE) results for a geometry-optimized Mg2Si3 structure.

Output
DOS(E_F) = 2.98 states/eV per cell
distance to the lowest polymorph of the same formula = 91 meV per atom
space-group type = C2/m (12)
calculated total energy = -0.2772 Ry/atom

a = 9.1773 Å, b = 9.1773 Å, c = 5.8337 Å
α = 73.96°, β = 73.96°, γ = 22.31°
With the nearest neighbours (Å) after each atom.
Positions (direct):
Mg1 0.2976 0.2976 0.8093  6 Si 2.66-2.90
Mg2 0.0770 0.0770 0.5465  7 Si 2.85-3.17, 3 Mg 2.97-3.15
Mg3 0.9230 0.9230 0.4535  7 Si 2.85-3.17, 3 Mg 2.97-3.15
Mg4 0.7024 0.7024 0.1907  6 Si 2.66-2.90
Si1 0.5394 0.5394 0.1435  3 Si 2.46-2.48
Si2 0.4606 0.4606 0.8565  3 Si 2.46-2.48
Si3 0.1320 0.1320 0.9596  4 Si 2.46-2.54, 2 Mg 2.75
Si4 0.3063 0.3063 0.3465  2 Si 2.54, 1 Mg 2.66
Si5 0.6937 0.6937 0.6535  2 Si 2.54, 1 Mg 2.66
Si6 0.8680 0.8680 0.0404  4 Si 2.46-2.54, 2 Mg 2.75


# 3
DFT (GGA-PBE) results for a geometry-optimized Zn2PSe structure.

Output
DOS(E_F) = 0.93 states/eV per cell
space-group type = P2/m (10)
calculated total energy = -0.2062 Ry/atom

a = 3.6503 Å, b = 2.7704 Å, c = 7.2826 Å
α = 81.46°, β = 90.00°, γ = 90.00°
With the nearest neighbours (Å) after each atom.
Positions (direct):
P1 0.5000 0.5000 0.5000  4 Zn 2.53, 2 P 2.77
Se1 0.5000 0.0000 0.0000  4 Zn 2.68, 2 Se 2.77
Zn1 0.0000 0.2412 0.7336  2 P 2.53, 2 Se 2.68, 2 Zn 2.77
Zn2 0.0000 0.7588 0.2664  2 P 2.53, 2 Se 2.68, 2 Zn 2.77


# 4
DFT (GGA-PBE) results for a geometry-optimized MnCd2Ge2 structure.

Output
DOS(E_F) = 5.78 states/eV per cell
ΔH_f (0 K) = 0.20 eV per atom
space-group type = P4/mbm (127)
calculated total energy = -0.2830 Ry/atom

a = 6.5334 Å, b = 6.5334 Å, c = 4.6628 Å
α = 90.00°, β = 90.00°, γ = 90.00°
With the nearest neighbours (Å) after each atom.
Positions (direct):
Cd1 0.3123 0.1877 0.5000  6 Ge 2.83-3.17
Cd2 0.6877 0.8123 0.5000  6 Ge 2.83-3.17
Cd3 0.1877 0.6877 0.5000  6 Ge 2.83-3.17
Cd4 0.8123 0.3123 0.5000  6 Ge 2.83-3.17
Ge1 0.3620 0.8620 0.0000  2 Mn 2.53, 1 Ge 2.55, 2 Cd 2.83
Ge2 0.1380 0.3620 0.0000  2 Mn 2.53, 1 Ge 2.55, 2 Cd 2.83
Ge3 0.6380 0.1380 0.0000  2 Mn 2.53, 1 Ge 2.55, 2 Cd 2.83
Ge4 0.8620 0.6380 0.0000  2 Mn 2.53, 1 Ge 2.55, 2 Cd 2.83
Mn1 0.5000 0.5000 0.0000  4 Ge 2.53
Mn2 0.0000 0.0000 0.0000  4 Ge 2.53